[1]
Entry from Alexandria: Zn4RuAu after structural relaxation (PBE-GGA).

Cell: 4.398 9.284 4.347 Å, 90.00 90.00 90.00°
Space group Cmmm (No. 65)
Symmetry-distinct sites (fractional):
Zn: 0.000 0.159 0.000 [4 per cell]
Zn: 0.000 0.327 0.500 [4 per cell]
Ru: 0.000 0.000 0.500 [2 per cell]
Au: 0.000 0.500 0.000 [2 per cell]

Calculated values
- Energy relative to the lowest polymorph listed for this composition: 0.0 meV/atom


[2]
Entry from Alexandria: ZrAgRu2 after structural relaxation (PBE-GGA).

Cell: 2.8534 2.8534 28.6425 Å, 90.00 90.00 120.00°
Space group R3m (No. 160, hexagonal axes)
Symmetry-distinct sites (fractional):
Zr: 0.0000 0.0000 0.0000 [3 per cell]
Ag: 0.0000 0.0000 0.7584 [3 per cell]
Ru: 0.0000 0.0000 0.2455 [3 per cell]
Ru: 0.0000 0.0000 0.5097 [3 per cell]

Calculated values
- Energy relative to the lowest polymorph listed for this composition: 275.4 meV/atom


[3]
Entry from Alexandria: PmEr2ScSb4 after structural relaxation (PBE-GGA).

Cell: 8.709 12.264 8.710 Å, 90.00 90.00 90.00°
Space group Fmm2 (No. 42)
Symmetry-distinct sites (fractional):
Pm: 0.000 0.000 0.000 [4 per cell]
Er: 0.250 0.250 0.249 [8 per cell]
Sc: 0.000 0.000 0.500 [4 per cell]
Sb: 0.000 0.242 0.499 [8 per cell]
Sb: 0.250 0.000 0.250 [8 per cell]

Calculated values
- Energy relative to the elements, uncorrected: -1.056 eV/atom


[4]
Entry from Alexandria: MnAlBr2 after structural relaxation (PBE-GGA).

Cell: 3.485 3.593 9.010 Å, 90.00 97.08 90.00°
Space group P2/m (No. 10)
Symmetry-distinct sites (fractional):
Mn: 0.000 0.000 0.000 [1 per cell]
Al: 0.000 0.000 0.500 [1 per cell]
Br: 0.170 0.500 0.811 [2 per cell]

Calculated values
- Energy relative to the lowest polymorph listed for this composition: 345.5 meV/atom
- Energy relative to the elements, uncorrected: -0.007 eV/atom


[5]
Entry from Alexandria: YNbSb2I after structural relaxation (PBE-GGA).

Cell: 5.372 5.372 5.548 Å, 90.00 90.00 90.00°
Space group P4/mmm (No. 123)
Symmetry-distinct sites (fractional):
Y: 0.000 0.000 0.000 [1 per cell]
Nb: 0.500 0.500 0.500 [1 per cell]
Sb: 0.000 0.500 0.500 [2 per cell]
I: 0.500 0.500 0.000 [1 per cell]

Calculated values
- Energy relative to the lowest polymorph listed for this composition: 0.0 meV/atom
- Energy relative to the elements, uncorrected: 0.198 eV/atom


[6]
Entry from Alexandria: Tb4Sm9Ag11 after structural relaxation (PBE-GGA).

Cell: 15.450 22.373 3.576 Å, 90.00 90.00 90.00°
Space group Cmmm (No. 65)
Symmetry-distinct sites (fractional):
Tb: 0.151 0.092 0.000 [8 per cell]
Sm: 0.000 0.000 0.000 [2 per cell]
Sm: 0.117 0.244 0.000 [8 per cell]
Sm: 0.123 0.416 0.000 [8 per cell]
Ag: 0.000 0.142 0.500 [4 per cell]
Ag: 0.000 0.333 0.500 [4 per cell]
Ag: 0.000 0.500 0.500 [2 per cell]
Ag: 0.240 0.323 0.500 [8 per cell]
Ag: 0.246 0.000 0.500 [4 per cell]

Calculated values
- Calculated total energy: -193.64 eV per cell


[7]
Entry from Alexandria: TiNbNi after structural relaxation (PBE-GGA).

Cell: 4.4200 4.4200 2.7198 Å, 90.00 90.00 120.00°
Space group P3m1 (No. 156)
Symmetry-distinct sites (fractional):
Ti: 0.0000 0.0000 0.0000 [1 per cell]
Nb: 0.3333 0.6667 0.6081 [1 per cell]
Ni: 0.6667 0.3333 0.3034 [1 per cell]

Calculated values
- Energy relative to the lowest polymorph listed for this composition: 322.6 meV/atom


[8]
Entry from Alexandria: Pm5HoSc3 after structural relaxation (PBE-GGA).

Cell: 14.709 11.344 9.625 Å, 90.00 129.64 90.00°
Space group C2/m (No. 12)
Symmetry-distinct sites (fractional):
Pm: 0.000 0.247 0.000 [4 per cell]
Pm: 0.136 0.248 0.738 [8 per cell]
Pm: 0.228 0.000 0.237 [4 per cell]
Pm: 0.247 0.000 0.587 [4 per cell]
Ho: 0.224 0.500 0.045 [4 per cell]
Sc: 0.000 0.000 0.500 [2 per cell]
Sc: 0.000 0.500 0.000 [2 per cell]
Sc: 0.008 0.000 0.823 [4 per cell]
Sc: 0.014 0.500 0.355 [4 per cell]

Calculated values
- Calculated total energy: -173.69 eV per cell


[9]
Entry from Alexandria: TbH8Rh2 after structural relaxation (PBE-GGA).

Cell: 5.496 9.516 3.650 Å, 90.00 90.00 90.00°
Space group Cmmm (No. 65)
Symmetry-distinct sites (fractional):
Tb: 0.000 0.000 0.000 [2 per cell]
H: 0.000 0.239 0.000 [4 per cell]
H: 0.000 0.500 0.106 [4 per cell]
H: 0.241 0.370 0.500 [8 per cell]
Rh: 0.000 0.232 0.500 [4 per cell]

Calculated values
- Energy relative to the lowest polymorph listed for this composition: 0.0 meV/atom


[10]
Entry from Alexandria: CaPdRhO6 after structural relaxation (PBE-GGA).

Cell: 5.2315 5.2315 10.0329 Å, 90.00 90.00 120.00°
Space group P-31c (No. 163)
Symmetry-distinct sites (fractional):
Ca: 0.0000 0.0000 0.0000 [2 per cell]
Pd: 0.3333 0.6667 0.2500 [2 per cell]
Rh: 0.3333 0.6667 0.7500 [2 per cell]
O: 0.0063 0.3699 0.6419 [12 per cell]

Calculated values
- Energy relative to the elements, uncorrected: -0.995 eV/atom


[11]
Entry from Alexandria: Li2NiPtN after structural relaxation (PBE-GGA).

Cell: 3.992 3.992 3.529 Å, 90.00 90.00 90.00°
Space group P4/mmm (No. 123)
Symmetry-distinct sites (fractional):
Li: 0.000 0.500 0.000 [2 per cell]
Ni: 0.000 0.000 0.500 [1 per cell]
Pt: 0.500 0.500 0.500 [1 per cell]
N: 0.000 0.000 0.000 [1 per cell]

Calculated values
- Energy relative to the elements, uncorrected: -0.188 eV/atom


[12]
Entry from Alexandria: ZnCu2OsN after structural relaxation (PBE-GGA).

Cell: 4.285 4.285 4.663 Å, 90.00 90.00 90.00°
Space group P4/mmm (No. 123)
Symmetry-distinct sites (fractional):
Zn: 0.000 0.000 0.000 [1 per cell]
Cu: 0.000 0.500 0.000 [2 per cell]
Os: 0.000 0.000 0.500 [1 per cell]
N: 0.500 0.500 0.500 [1 per cell]

Calculated values
- Energy relative to the elements, uncorrected: 2.291 eV/atom


Values of N(E_F), in order: 0.423 1.399 0.151 0.515 0.928 0.745 1.956 1.534 0.314 0.261 0.613 0.535, all in states/eV/atom.